First-principles (PBE-GGA) data for an optimized crystal structure of BC, as listed in the Alexandria database.

```
BC
1.0
3.780 0.057 -6.263
-0.018 2.648 -6.731
-0.121 -0.048 7.232
B C
5 5
direct
0.020 0.021 0.999 B
0.738 0.474 0.264 B
0.183 0.200 0.983 B
0.158 0.886 0.271 B
0.591 0.622 0.969 B
0.954 0.708 0.246 C
0.390 0.391 0.999 C
0.369 0.100 0.269 C
0.779 0.795 0.984 C
0.568 0.303 0.265 C
```

* crystal system: monoclinic
* ΔH_f (0 K): 0.38 eV/atom
* energy above the lowest structure with this stoichiometry: 225 meV/atom



First-principles (PBE-GGA) data for an optimized crystal structure of B7C5, as listed in the Alexandria database.

```
B7C5
1.0
-0.912 2.533 0.225
-4.235 -1.614 1.001
1.429 -0.053 6.395
B C
7 5
direct
0.500 0.553 0.224 B
0.500 0.495 0.962 B
0.000 0.652 0.628 B
0.000 0.307 0.324 B
0.000 0.942 0.249 B
0.000 0.057 0.990 B
0.000 0.674 0.050 B
0.500 0.838 0.359 C
0.500 0.175 0.894 C
0.000 0.315 0.573 C
0.500 0.158 0.657 C
0.500 0.835 0.591 C
```

* crystal system: monoclinic
* ΔH_f (0 K): 0.39 eV/atom
* energy above the lowest structure with this stoichiometry: 228 meV/atom



First-principles (PBE-GGA) data for an optimized crystal structure of B3C, as listed in the Alexandria database.

```
B3C
1.0
5.986 0.745 -0.521
-3.622 -4.291 0.357
-1.342 -0.083 -3.959
B C
9 3
direct
0.280 0.749 0.705 B
0.979 0.630 0.100 B
0.490 0.023 0.408 B
0.378 0.290 0.954 B
0.122 0.325 0.736 B
0.890 0.396 0.481 B
0.727 0.169 0.106 B
0.580 0.736 0.706 B
0.905 0.029 0.086 B
0.338 0.968 0.003 C
0.732 0.651 0.028 C
0.830 0.034 0.439 C
```

* crystal system: triclinic
* ΔH_f (0 K): 0.46 eV/atom
* energy above the lowest structure with this stoichiometry: 223 meV/atom



First-principles (PBE-GGA) data for an optimized crystal structure of B3C, as listed in the Alexandria database.

```
B3C
1.0
-2.472 -5.501 -0.908
-2.251 -5.358 1.850
-5.744 0.412 0.439
B C
9 3
direct
0.978 0.978 0.906 B
0.132 0.132 0.330 B
0.673 0.673 0.155 B
0.701 0.701 0.427 B
0.976 0.976 0.509 B
0.105 0.105 0.634 B
0.357 0.357 0.305 B
0.667 0.667 0.738 B
0.329 0.329 0.822 B
0.412 0.412 0.516 C
0.749 0.749 0.888 C
0.422 0.422 0.017 C
```

* crystal system: monoclinic
* ΔH_f (0 K): 0.31 eV/atom
* energy above the lowest structure with this stoichiometry: 71 meV/atom



The lowest energy above the lowest structure with this stoichiometry belongs to which entry?
number 4